# 1
## KZnSe3 (GGA-PBE)

Data for a geometry-optimized KZnSe3 structure.

Lattice parameters (Å, degrees): 6.1955 6.1955 6.1955 90.00 90.00 90.00
Last column: nearest neighbours and their distance in Å.
Space group Pm-3m (No. 221)
Symmetry-distinct sites (fractional):
K1 0.0000 0.0000 0.0000  6 Se 3.10
Zn1 0.5000 0.5000 0.5000  12 Se 4.38
Se1 0.0000 0.0000 0.5000  2 K 3.10

Values from the calculation:
Volume, Å³ per atom: 47.56
Density of states at the Fermi level, states/eV per atom: 1.147
Formation energy (no corrections), eV per formula unit: 4.56

---

# 2
## KZn3Se (GGA-PBE)

Data for a geometry-optimized KZn3Se structure.

Lattice parameters (Å, degrees): 5.3301 5.3301 5.3301 90.00 90.00 90.00
Last column: nearest neighbours and their distance in Å.
Space group Pm-3m (No. 221)
Symmetry-distinct sites (fractional):
K1 0.0000 0.0000 0.0000  12 Zn 3.77
Zn1 0.0000 0.5000 0.5000  2 Se 2.67
Se1 0.5000 0.5000 0.5000  6 Zn 2.67

Values from the calculation:
Volume, Å³ per atom: 30.29
Density of states at the Fermi level, states/eV per atom: 0.697
Formation energy (no corrections), eV per formula unit: 1.32

---

# 3
## KZnSe4 (GGA-PBE)

Data for a geometry-optimized KZnSe4 structure.

Lattice parameters (Å, degrees): 8.3571 8.3571 8.3571 90.00 90.00 90.00
Last column: nearest neighbours and their distance in Å.
Space group F-43m (No. 216)
Symmetry-distinct sites (fractional):
K1 0.0000 0.0000 0.0000  12 Se 3.47, 4 Zn 3.62
Zn1 0.2500 0.2500 0.2500  12 Se 3.46, 4 K 3.62
Se1 0.1223 0.1223 0.6223  6 Se 2.89-3.02

Values from the calculation:
Volume, Å³ per atom: 24.32
Density of states at the Fermi level, states/eV per atom: 0.665
Formation energy (no corrections), eV per formula unit: 0.19

---

# 4
## KZn2Se (GGA-PBE)

Data for a geometry-optimized KZn2Se structure.

Lattice parameters (Å, degrees): 5.1615 5.1724 7.2477 90.00 90.00 90.00
Last column: nearest neighbours and their distance in Å.
Space group Cmm2 (No. 35)
Symmetry-distinct sites (fractional):
K1 0.0000 0.0000 0.0000  4 Se 3.39-3.40, 5 Zn 3.41-3.57, 4 K 3.65
Zn1 0.0000 0.0000 0.4711  4 Se 2.85-2.86, 4 Zn 2.92-2.93
Zn2 0.0000 0.5000 0.6597  1 Se 2.58
Se1 0.0000 0.5000 0.3042  5 Zn 2.58-2.86

Values from the calculation:
Volume, Å³ per atom: 24.19
Density of states at the Fermi level, states/eV per atom: 0.429
Formation energy (no corrections), eV per formula unit: -0.86

---

# 5
## KZn2Se (GGA-PBE)

Data for a geometry-optimized KZn2Se structure.

Lattice parameters (Å, degrees): 4.0871 6.5692 8.3736 90.00 90.00 90.00
Last column: nearest neighbours and their distance in Å.
Space group Imm2 (No. 44)
Symmetry-distinct sites (fractional):
K1 0.0000 0.0000 0.0000  4 Se 3.33-3.63, 4 Zn 3.37-3.61
Zn1 0.0000 0.0000 0.4909  2 Se 2.52, 2 Zn 2.58
Zn2 0.0000 0.5000 0.1796  2 Zn 2.58
Se1 0.0000 0.5000 0.8147  2 Zn 2.52

Values from the calculation:
Volume, Å³ per atom: 28.10
Density of states at the Fermi level, states/eV per atom: 0.311
Formation energy (no corrections), eV per formula unit: -0.97

---

# 6
## KZn2Se (GGA-PBE)

Data for a geometry-optimized KZn2Se structure.

Lattice parameters (Å, degrees): 4.1526 4.5561 5.0386 90.00 90.00 90.00
Last column: nearest neighbours and their distance in Å.
Space group Pmmm (No. 47)
Symmetry-distinct sites (fractional):
K1 0.0000 0.0000 0.0000  4 Se 3.08, 8 Zn 3.26-3.40
Zn1 0.0000 0.5000 0.5000  4 Zn 3.08, 4 Se 3.26, 4 K 3.40
Zn2 0.5000 0.0000 0.5000  4 Zn 3.08, 4 K 3.26, 4 Se 3.40
Se1 0.5000 0.5000 0.0000  4 K 3.08, 8 Zn 3.26-3.40

Values from the calculation:
Volume, Å³ per atom: 23.83
Density of states at the Fermi level, states/eV per atom: 0.427
Formation energy (no corrections), eV per formula unit: -0.26

---

# 7
## KZnSe (GGA-PBE)

Data for a geometry-optimized KZnSe structure.

Lattice parameters (Å, degrees): 7.3146 7.3146 7.3146 90.00 90.00 90.00
Last column: nearest neighbours and their distance in Å.
Space group F-43m (No. 216)
Symmetry-distinct sites (fractional):
K1 0.0000 0.0000 0.0000  4 Zn 3.17, 4 Se 3.17
Zn1 0.2500 0.2500 0.7500  4 K 3.17
Se1 0.2500 0.2500 0.2500  4 K 3.17

Values from the calculation:
Volume, Å³ per atom: 32.61
Density of states at the Fermi level, states/eV per atom: 0.700
Formation energy (no corrections), eV per formula unit: -0.05

---

# 8
## KZn2Se (GGA-PBE)

Data for a geometry-optimized KZn2Se structure.

Lattice parameters (Å, degrees): 3.9346 3.8351 6.9563 90.00 99.14 90.00
Last column: nearest neighbours and their distance in Å.
Space group Pm (No. 6)
Symmetry-distinct sites (fractional):
K1 0.0000 0.0000 0.0000  4 Se 3.28-3.29, 1 Zn 3.47
Zn1 0.2807 0.0000 0.4981  2 Se 2.54, 2 Zn 2.75
Zn2 0.7779 0.5000 0.4137  4 Zn 2.75-2.87, 1 Se 2.82
Se1 0.4290 0.5000 0.7371  3 Zn 2.54-2.82

Values from the calculation:
Volume, Å³ per atom: 25.91
Density of states at the Fermi level, states/eV per atom: 0.389
Formation energy (no corrections), eV per formula unit: -1.23